Record 1
Na3Li3N2 | Alexandria | PBE | optimized geometry; raw formation energy = 0.41 eV per atom; space-group type = P-4m2; energy relative to the lowest polymorph listed for this composition = 434 meV per atom
1.0
-1.460 3.080 -1.686
-3.303 -0.585 1.791
3.673 6.635 8.940
Li Na N
3 3 2
direct
0.500 0.500 0.000
0.500 0.500 0.500
0.000 0.000 0.000
0.000 0.000 0.790
0.000 0.000 0.500
0.000 0.000 0.210
0.500 0.000 0.921
0.000 0.500 0.079

---

Record 2
NaLi2N | Alexandria | PBE | optimized geometry; raw formation energy = -0.16 eV per atom; space-group type = P6/mmm
1.0
-2.873 1.746 -1.442
1.240 -3.073 -1.550
-2.942 -2.573 2.746
Li Na N
2 1 1
direct
0.333 0.667 0.000
0.667 0.333 0.000
0.000 0.000 0.500
0.000 0.000 0.000

---

Record 3
NaLi2N | Alexandria | PBE | optimized geometry; raw formation energy = 1.10 eV per atom; space-group type = P6/mmm
1.0
5.176 0.000 0.000
-2.588 4.483 0.000
0.000 0.000 4.116
Li Na N
2 1 1
direct
0.667 0.333 0.500
0.333 0.667 0.500
0.000 0.000 0.500
0.000 0.000 0.000

---

Record 4
Na2LiN | Alexandria | PBE | optimized geometry; raw formation energy = 0.06 eV per atom; space-group type = P6/mmm
1.0
-2.350 -1.871 -3.333
0.359 -2.102 3.948
-3.195 1.794 1.246
Na N Li
2 1 1
direct
0.667 0.333 0.000
0.333 0.667 0.000
0.000 0.000 0.000
0.000 0.000 0.500

---

Record 5
Na3LiN | Alexandria | PBE | optimized geometry; raw formation energy = 0.32 eV per atom; space-group type = Pm-3m; energy relative to the lowest polymorph listed for this composition = 0 meV per atom
1.0
-3.249 -1.145 -3.395
3.448 0.245 -3.383
0.973 -4.693 0.652
N Na Li
1 3 1
direct
0.000 0.000 0.000
0.000 0.000 0.500
0.000 0.500 0.000
0.500 0.000 0.000
0.500 0.500 0.500

---

Record 6
Na3LiN8 | Alexandria | PBE | optimized geometry; raw formation energy = 0.03 eV per atom; space-group type = I-42m
1.0
-2.240 5.591 0.310
-3.092 -3.940 3.370
0.268 1.257 5.898
Na N Li
3 8 1
direct
0.500 0.000 0.500
0.249 0.500 0.250
0.750 0.500 0.750
0.677 0.528 0.322
0.323 0.000 0.150
0.150 0.472 0.850
0.353 0.000 0.948
0.052 0.000 0.647
0.948 0.301 0.052
0.850 0.000 0.677
0.647 0.699 0.353
0.000 0.000 0.000